[1]
Density functional theory data (PBE) for a geometry-optimized NiAgPb2 structure.

Calculated values
ΔE_f = 289.4 meV per atom
Polymorph energy (0 for the lowest one) = 115 meV per atom
Crystal system = tetragonal

Cell: 8.7827 8.7827 6.7425 Å, 49.36 49.36 90.00°
Closest atoms and distances in Å follow each position.
Fractional coordinates of all 8 atoms:
Pb (0.5116, 0.1250, 0.2500)  2 Ni 2.59
Pb (0.2384, 0.6250, 0.2500)  2 Ni 2.59
Pb (0.3750, 0.4884, 0.7500)  2 Ni 2.59
Pb (0.8750, 0.7616, 0.7500)  2 Ni 2.59
Ni (0.5000, 0.5000, 0.0000)  4 Pb 2.59, 2 Ag 2.63
Ni (0.2500, 0.7500, 0.5000)  4 Pb 2.59, 2 Ag 2.63
Ag (0.0000, 0.0000, 0.0000)  2 Ni 2.63
Ag (0.7500, 0.2500, 0.5000)  2 Ni 2.63

---

[2]
Density functional theory data (PBE) for a geometry-optimized Li2ZrAl structure.

Calculated values
ΔE_f = 167.0 meV per atom
Crystal system = orthorhombic

Cell: 5.5276 5.5276 2.7597 Å, 90.00 90.00 116.47°
Closest atoms and distances in Å follow each position.
Fractional coordinates of all 4 atoms:
Al (0.0000, 0.5000, 0.5000)  2 Al 2.76, 2 Zr 2.91, 8 Li 3.09
Li (0.0000, 0.0000, 0.0000)  4 Li 2.76-2.91, 4 Al 3.09, 4 Zr 3.09
Li (0.5000, 0.5000, 0.0000)  4 Li 2.76-2.91, 4 Zr 3.09, 4 Al 3.09
Zr (0.5000, 0.0000, 0.5000)  2 Zr 2.76, 2 Al 2.91, 8 Li 3.09

---

[3]
Density functional theory data (PBE) for a geometry-optimized KTlCd2Sb2 structure.

Calculated values
Formation energy from raw total energies = -20.87 kJ/mol of atoms
Crystal system = trigonal

Cell: 4.8850 4.8850 9.8036 Å, 90.00 90.00 120.00°
Closest atoms and distances in Å follow each position.
Fractional coordinates of all 6 atoms:
K (0.0000, 0.0000, 0.0000)  6 Sb 3.77, 6 Cd 3.97
Tl (0.0000, 0.0000, 0.5000)  6 Cd 3.52, 6 Sb 3.70
Cd (0.3333, 0.6667, 0.7150)  3 Sb 2.84
Cd (0.6667, 0.3333, 0.2850)  3 Sb 2.84
Sb (0.3333, 0.6667, 0.2554)  3 Cd 2.84
Sb (0.6667, 0.3333, 0.7446)  3 Cd 2.84

---

[4]
Density functional theory data (PBE) for a geometry-optimized Ce2TeS structure.

Calculated values
Formation energy from raw total energies = -162.76 kJ/mol of atoms
Polymorph energy (0 for the lowest one) = 0 meV per atom
Crystal system = trigonal

Cell: 4.1968 4.1968 7.5268 Å, 73.81 73.81 60.00°
Closest atoms and distances in Å follow each position.
Fractional coordinates of all 4 atoms:
S (0.5000, 0.5000, 0.5000)  6 Ce 2.85
Te (0.0000, 0.0000, 0.0000)  6 Ce 3.18
Ce (0.7633, 0.7633, 0.7100)  3 S 2.85, 3 Te 3.18
Ce (0.2367, 0.2367, 0.2900)  3 S 2.85, 3 Te 3.18

---

Magnetization / Bohr magnetons per cell: 0.00, 0.00, 0.00, 1.98